# 1
# InTcAuSe3 PBE relaxed
# Spin magnetization in μB/f.u.: 0.1
# Energy relative to the lowest polymorph listed for this composition in eV per atom: 0.000
data_InTcAuSe3
_cell_length_a 3.4282
_cell_length_b 15.9514
_cell_length_c 9.9297
_cell_angle_alpha 90.00
_cell_angle_beta 90.00
_cell_angle_gamma 90.00
_space_group_name_H-M_alt 'C m c m'
_space_group_IT_number 63
_space_group_name_Hall '-C 2c 2'
loop_
_atom_site_label
_atom_site_type_symbol
_atom_site_fract_x
_atom_site_fract_y
_atom_site_fract_z
In1 In 0.0000 0.1767 0.2500
Tc1 Tc 0.0000 0.5000 0.0000
Au1 Au 0.0000 0.1850 0.7500
Se1 Se 0.0000 0.1164 0.5202
Se2 Se 0.0000 0.4661 0.7500

---

# 2
# InTcAuSe3 PBE relaxed
# Spin magnetization in μB/f.u.: 0.0
# Energy relative to the lowest polymorph listed for this composition in eV per atom: 0.058
data_InTcAuSe3
_cell_length_a 10.1131
_cell_length_b 3.8774
_cell_length_c 13.2150
_cell_angle_alpha 90.00
_cell_angle_beta 90.00
_cell_angle_gamma 90.00
_space_group_name_H-M_alt 'P n m a'
_space_group_IT_number 62
loop_
_space_group_symop_operation_xyz
'x,y,z'
'-x,-y,-z'
'-x+1/2,-y,z+1/2'
'x+1/2,y,-z+1/2'
'x+1/2,-y+1/2,-z+1/2'
'-x+1/2,y+1/2,z+1/2'
'-x,y+1/2,-z'
'x,-y+1/2,z'
loop_
_atom_site_label
_atom_site_type_symbol
_atom_site_fract_x
_atom_site_fract_y
_atom_site_fract_z
In1 In 0.2249 0.2500 0.0413
Tc1 Tc 0.0414 0.7500 0.2736
Au1 Au 0.2487 0.7500 0.8893
Se1 Se 0.0077 0.7500 0.8461
Se2 Se 0.0103 0.2500 0.3964
Se3 Se 0.2317 0.2500 0.6968

---

# 3
# InTcTe2AuSe PBE relaxed
# Electronic total energy in eV per formula unit: -25.613
# Spin magnetization in μB/f.u.: 1.9
data_InTcTe2AuSe
_cell_length_a 3.9175
_cell_length_b 14.7755
_cell_length_c 10.1577
_cell_angle_alpha 90.00
_cell_angle_beta 90.00
_cell_angle_gamma 90.00
_space_group_name_H-M_alt 'C m c m'
_space_group_IT_number 63
_space_group_name_Hall '-C 2c 2'
loop_
_atom_site_label
_atom_site_type_symbol
_atom_site_fract_x
_atom_site_fract_y
_atom_site_fract_z
In1 In 0.0000 0.2448 0.2500
Tc1 Tc 0.0000 0.0000 0.0000
Te1 Te 0.0000 0.3652 0.5300
Au1 Au 0.0000 0.4655 0.7500
Se1 Se 0.0000 0.0802 0.7500

---

# 4
# InTcTeAuSe2 PBE relaxed
# Electronic total energy in eV per formula unit: -27.222
# Spin magnetization in μB/f.u.: 0.0
data_InTcTeAuSe2
_cell_length_a 3.4640
_cell_length_b 15.6181
_cell_length_c 10.4736
_cell_angle_alpha 90.00
_cell_angle_beta 90.00
_cell_angle_gamma 90.00
_space_group_name_H-M_alt 'C m c m'
_space_group_IT_number 63
_space_group_name_Hall '-C 2c 2'
loop_
_atom_site_label
_atom_site_type_symbol
_atom_site_fract_x
_atom_site_fract_y
_atom_site_fract_z
In1 In 0.0000 0.1929 0.2500
Tc1 Tc 0.0000 0.5000 0.0000
Te1 Te 0.0000 0.4693 0.7500
Au1 Au 0.0000 0.1664 0.7500
Se1 Se 0.0000 0.1197 0.5154

---

# 5
# InTe2WAuSe PBE relaxed
# Electronic total energy in eV per formula unit: -27.627
# Spin magnetization in μB/f.u.: 0.0
data_InTe2WAuSe
_cell_length_a 3.6115
_cell_length_b 16.2315
_cell_length_c 9.9596
_cell_angle_alpha 90.00
_cell_angle_beta 90.00
_cell_angle_gamma 90.00
_space_group_name_H-M_alt 'C m c m'
_space_group_IT_number 63
_space_group_name_Hall '-C 2c 2'
loop_
_atom_site_label
_atom_site_type_symbol
_atom_site_fract_x
_atom_site_fract_y
_atom_site_fract_z
In1 In 0.0000 0.2499 0.2500
Te1 Te 0.0000 0.1331 0.5269
W1 W 0.0000 0.5000 0.0000
Au1 Au 0.0000 0.0417 0.7500
Se1 Se 0.0000 0.4228 0.7500

---

# 6
# ZrInTe2AuSe PBE relaxed
# Electronic total energy in eV per formula unit: -27.635
# Spin magnetization in μB/f.u.: 0.0
data_ZrInTe2AuSe
_cell_length_a 4.0575
_cell_length_b 15.0810
_cell_length_c 10.4602
_cell_angle_alpha 90.00
_cell_angle_beta 90.00
_cell_angle_gamma 90.00
_space_group_name_H-M_alt 'C m c m'
_space_group_IT_number 63
_space_group_name_Hall '-C 2c 2'
loop_
_atom_site_label
_atom_site_type_symbol
_atom_site_fract_x
_atom_site_fract_y
_atom_site_fract_z
Zr1 Zr 0.0000 0.0000 0.0000
In1 In 0.0000 0.2528 0.2500
Te1 Te 0.0000 0.3581 0.5402
Au1 Au 0.0000 0.4648 0.7500
Se1 Se 0.0000 0.0761 0.7500

---

# 7
# TlInAu2Se4 PBE relaxed
# Electronic total energy in eV per formula unit: -27.254
data_TlInAu2Se4
_cell_length_a 6.2173
_cell_length_b 6.2173
_cell_length_c 12.0459
_cell_angle_alpha 90.00
_cell_angle_beta 90.00
_cell_angle_gamma 90.00
_space_group_name_H-M_alt 'I -4'
_space_group_IT_number 82
loop_
_space_group_symop_operation_xyz
'x,y,z'
'y,-x,-z'
'-x,-y,z'
'-y,x,-z'
'x+1/2,y+1/2,z+1/2'
'y+1/2,-x+1/2,-z+1/2'
'-x+1/2,-y+1/2,z+1/2'
'-y+1/2,x+1/2,-z+1/2'
loop_
_atom_site_label
_atom_site_type_symbol
_atom_site_fract_x
_atom_site_fract_y
_atom_site_fract_z
Tl1 Tl 0.0000 0.0000 0.0000
In1 In 0.0000 0.5000 0.2500
Au1 Au 0.0000 0.0000 0.5000
Au2 Au 0.0000 0.5000 0.7500
Se1 Se 0.2372 0.7565 0.6280

---

# 8
# InWAuSe3 PBE relaxed
# Electronic total energy in eV per formula unit: -30.369
# Spin magnetization in μB/f.u.: 0.0
data_InWAuSe3
_cell_length_a 3.4624
_cell_length_b 16.6534
_cell_length_c 9.8367
_cell_angle_alpha 90.00
_cell_angle_beta 90.00
_cell_angle_gamma 90.00
_space_group_name_H-M_alt 'C m c m'
_space_group_IT_number 63
_space_group_name_Hall '-C 2c 2'
loop_
_atom_site_label
_atom_site_type_symbol
_atom_site_fract_x
_atom_site_fract_y
_atom_site_fract_z
In1 In 0.0000 0.1736 0.2500
W1 W 0.0000 0.5000 0.0000
Au1 Au 0.0000 0.1981 0.7500
Se1 Se 0.0000 0.1121 0.5294
Se2 Se 0.0000 0.4675 0.7500

---

# 9
# ZrInAu3Se4 PBE relaxed
# Electronic total energy in eV per formula unit: -38.906
# Spin magnetization in μB/f.u.: 0.0
data_ZrInAu3Se4
_cell_length_a 6.3929
_cell_length_b 6.3929
_cell_length_c 6.3929
_cell_angle_alpha 90.00
_cell_angle_beta 90.00
_cell_angle_gamma 90.00
_space_group_name_H-M_alt 'P -4 3 m'
_space_group_IT_number 215
_space_group_name_Hall 'P -4 2 3'
loop_
_atom_site_label
_atom_site_type_symbol
_atom_site_fract_x
_atom_site_fract_y
_atom_site_fract_z
Zr1 Zr 0.0000 0.0000 0.0000
In1 In 0.5000 0.5000 0.5000
Au1 Au 0.0000 0.0000 0.5000
Se1 Se 0.2314 0.2314 0.7686

---

# 10
# InSi4Au PBE relaxed
# Electronic total energy in eV per formula unit: -23.087
data_InSi4Au
_cell_length_a 8.1391
_cell_length_b 8.2415
_cell_length_c 4.2489
_cell_angle_alpha 90.00
_cell_angle_beta 90.00
_cell_angle_gamma 90.00
_space_group_name_H-M_alt 'C m m m'
_space_group_IT_number 65
_space_group_name_Hall '-C 2 2'
loop_
_atom_site_label
_atom_site_type_symbol
_atom_site_fract_x
_atom_site_fract_y
_atom_site_fract_z
In1 In 0.0000 0.0000 0.0000
Si1 Si 0.0000 0.2041 0.5000
Si2 Si 0.1672 0.5000 0.0000
Au1 Au 0.0000 0.5000 0.5000

---

# 11
# InSiTe3Au PBE relaxed
# Electronic total energy in eV per formula unit: -21.102
data_InSiTe3Au
_cell_length_a 3.9476
_cell_length_b 14.0988
_cell_length_c 11.4577
_cell_angle_alpha 90.00
_cell_angle_beta 90.00
_cell_angle_gamma 90.00
_space_group_name_H-M_alt 'C m c m'
_space_group_IT_number 63
_space_group_name_Hall '-C 2c 2'
loop_
_atom_site_label
_atom_site_type_symbol
_atom_site_fract_x
_atom_site_fract_y
_atom_site_fract_z
In1 In 0.0000 0.2094 0.2500
Si1 Si 0.0000 0.5000 0.0000
Te1 Te 0.0000 0.1394 0.5149
Te2 Te 0.0000 0.4749 0.7500
Au1 Au 0.0000 0.1402 0.7500

---

# 12
# Sm2InAu2 PBE relaxed
# Electronic total energy in eV per formula unit: -22.658
# Spin magnetization in μB/f.u.: 0.0
data_Sm2InAu2
_cell_length_a 8.0267
_cell_length_b 8.0267
_cell_length_c 3.8690
_cell_angle_alpha 90.00
_cell_angle_beta 90.00
_cell_angle_gamma 90.00
_space_group_name_H-M_alt 'P 4/m b m'
_space_group_IT_number 127
_space_group_name_Hall '-P 4 2ab'
loop_
_atom_site_label
_atom_site_type_symbol
_atom_site_fract_x
_atom_site_fract_y
_atom_site_fract_z
Sm1 Sm 0.1715 0.3285 0.0000
In1 In 0.0000 0.0000 0.5000
Au1 Au 0.1280 0.6280 0.5000